A plane-wave DFT calculation with PBE-GGA was carried out for an optimized crystal structure of SrSi3Ir.

Cell: 5.1133 5.1133 5.1133 Å, 90.00 90.00 90.00°
With the nearest neighbours (Å) after each atom.
Sites, in units of the cell vectors:
1 Sr 0.0000 0.0000 0.0000  6 Si 2.56
2 Si 0.0000 0.0000 0.5000  2 Sr 2.56
3 Si 0.0000 0.5000 0.0000  2 Sr 2.56
4 Si 0.5000 0.0000 0.0000  2 Sr 2.56
5 Ir 0.5000 0.5000 0.5000  12 Si 3.62

Calculated values
Symmetry   Pm-3m (221)
V   26.738 Å³ per atom
Formation energy from raw total energies   2.465 eV/atom

A plane-wave DFT calculation with PBE-GGA was carried out for an optimized crystal structure of SrSiIr3.

Cell: 4.5671 4.5671 4.5671 Å, 90.00 90.00 90.00°
With the nearest neighbours (Å) after each atom.
Sites, in units of the cell vectors:
1 Sr 0.0000 0.0000 0.0000  12 Ir 3.23
2 Si 0.5000 0.5000 0.5000  6 Ir 2.28
3 Ir 0.0000 0.5000 0.5000  2 Si 2.28
4 Ir 0.5000 0.0000 0.5000  2 Si 2.28
5 Ir 0.5000 0.5000 0.0000  2 Si 2.28

Calculated values
Symmetry   Pm-3m (221)
V   19.053 Å³ per atom
Formation energy from raw total energies   0.029 eV/atom

A plane-wave DFT calculation with PBE-GGA was carried out for an optimized crystal structure of SrSiIr.

Cell: 5.4187 3.8915 7.0910 Å, 90.00 100.66 90.00°
With the nearest neighbours (Å) after each atom.
Sites, in units of the cell vectors:
1 Sr 0.2137 0.2500 0.3179  4 Si 3.19-3.49, 5 Ir 3.25-3.47
2 Sr 0.7863 0.7500 0.6821  4 Si 3.19-3.49, 5 Ir 3.25-3.47
3 Si 0.3201 0.7500 0.9629  3 Ir 2.33-2.38
4 Si 0.6799 0.2500 0.0371  3 Ir 2.33-2.38
5 Ir 0.3238 0.2500 0.7838  3 Si 2.33-2.38
6 Ir 0.6762 0.7500 0.2162  3 Si 2.33-2.38

Calculated values
Symmetry   P2_1/m (11)
V   24.491 Å³ per atom
Formation energy from raw total energies   -0.434 eV/atom

A plane-wave DFT calculation with PBE-GGA was carried out for an optimized crystal structure of SrSiIr2.

Cell: 6.0185 6.0185 6.0185 Å, 104.71 104.71 119.49°
With the nearest neighbours (Å) after each atom.
Sites, in units of the cell vectors:
1 Sr 0.0000 0.0000 0.0000  2 Si 3.03, 8 Ir 3.15-3.20
2 Sr 0.7500 0.2500 0.5000  2 Si 3.03, 8 Ir 3.15-3.20
3 Si 0.2500 0.7500 0.5000  4 Ir 2.31
4 Si 0.5000 0.5000 0.0000  4 Ir 2.31
5 Ir 0.2157 0.6250 0.0907  2 Si 2.31
6 Ir 0.3750 0.4657 0.5907  2 Si 2.31
7 Ir 0.5343 0.1250 0.9093  2 Si 2.31
8 Ir 0.8750 0.7843 0.4093  2 Si 2.31

Calculated values
Symmetry   I-42d (122)
V   20.490 Å³ per atom
Formation energy from raw total energies   -0.127 eV/atom

A plane-wave DFT calculation with PBE-GGA was carried out for an optimized crystal structure of Sr3SiIr.

Cell: 5.6887 5.6887 5.6887 Å, 90.00 90.00 90.00°
With the nearest neighbours (Å) after each atom.
Sites, in units of the cell vectors:
1 Sr 0.0000 0.0000 0.5000  2 Ir 2.84
2 Sr 0.0000 0.5000 0.0000  2 Ir 2.84
3 Sr 0.5000 0.0000 0.0000  2 Ir 2.84
4 Si 0.5000 0.5000 0.5000  12 Sr 4.02
5 Ir 0.0000 0.0000 0.0000  6 Sr 2.84

Calculated values
Symmetry   Pm-3m (221)
V   36.818 Å³ per atom
Formation energy from raw total energies   0.113 eV/atom

A plane-wave DFT calculation with PBE-GGA was carried out for an optimized crystal structure of SrSi12Ir4.

Cell: 7.2698 7.2698 7.2698 Å, 109.47 109.47 109.47°
With the nearest neighbours (Å) after each atom.
Sites, in units of the cell vectors:
1 Sr 0.0000 0.0000 0.0000  12 Si 3.26, 8 Ir 3.63
2 Si 0.1524 0.3570 0.5094  2 Si 2.40-2.56, 2 Ir 2.43
3 Si 0.1524 0.6430 0.7954  2 Si 2.40-2.56, 2 Ir 2.43
4 Si 0.2046 0.8476 0.3570  2 Si 2.40-2.56, 2 Ir 2.43
5 Si 0.3570 0.2046 0.8476  2 Si 2.40-2.56, 2 Ir 2.43
6 Si 0.3570 0.5094 0.1524  2 Si 2.40-2.56, 2 Ir 2.43
7 Si 0.4906 0.8476 0.6430  2 Si 2.40-2.56, 2 Ir 2.43
8 Si 0.5094 0.1524 0.3570  2 Si 2.40-2.56, 2 Ir 2.43
9 Si 0.6430 0.4906 0.8476  2 Si 2.40-2.56, 2 Ir 2.43
10 Si 0.6430 0.7954 0.1524  2 Si 2.40-2.56, 2 Ir 2.43
11 Si 0.7954 0.1524 0.6430  2 Si 2.40-2.56, 2 Ir 2.43
12 Si 0.8476 0.3570 0.2046  2 Si 2.40-2.56, 2 Ir 2.43
13 Si 0.8476 0.6430 0.4906  2 Si 2.40-2.56, 2 Ir 2.43
14 Ir 0.0000 0.0000 0.5000  6 Si 2.43
15 Ir 0.0000 0.5000 0.0000  6 Si 2.43
16 Ir 0.5000 0.0000 0.0000  6 Si 2.43
17 Ir 0.5000 0.5000 0.5000  6 Si 2.43

Calculated values
Symmetry   Im-3 (204)
V   17.398 Å³ per atom
Formation energy from raw total energies   -0.248 eV/atom

A plane-wave DFT calculation with PBE-GGA was carried out for an optimized crystal structure of SrSiIr2.

Cell: 4.1489 4.1489 9.4152 Å, 90.00 90.00 90.00°
With the nearest neighbours (Å) after each atom.
Sites, in units of the cell vectors:
1 Sr 0.2500 0.2500 0.2071  5 Ir 3.03-3.14, 4 Si 3.30
2 Sr 0.7500 0.7500 0.7929  5 Ir 3.03-3.14, 4 Si 3.30
3 Si 0.2500 0.2500 0.6323  5 Ir 2.27-2.42
4 Si 0.7500 0.7500 0.3677  5 Ir 2.27-2.42
5 Ir 0.2500 0.2500 0.8737  1 Si 2.27
6 Ir 0.2500 0.7500 0.5000  4 Si 2.42
7 Ir 0.7500 0.2500 0.5000  4 Si 2.42
8 Ir 0.7500 0.7500 0.1263  1 Si 2.27

Calculated values
Symmetry   P4/nmm (129)
V   20.258 Å³ per atom
Formation energy from raw total energies   -0.349 eV/atom

A plane-wave DFT calculation with PBE-GGA was carried out for an optimized crystal structure of SrSiIr.

Cell: 4.5973 4.5973 4.5973 Å, 60.00 60.00 60.00°
With the nearest neighbours (Å) after each atom.
Sites, in units of the cell vectors:
1 Sr 0.0000 0.0000 0.0000  4 Ir 2.82
2 Si 0.5000 0.5000 0.5000  4 Ir 2.82
3 Ir 0.2500 0.2500 0.2500  4 Sr 2.82, 4 Si 2.82

Calculated values
Symmetry   F-43m (216)
V   22.902 Å³ per atom
Formation energy from raw total energies   0.084 eV/atom

A plane-wave DFT calculation with PBE-GGA was carried out for an optimized crystal structure of Sr2Si2Ir.

Cell: 6.6653 6.6653 4.9363 Å, 90.00 90.00 90.00°
With the nearest neighbours (Å) after each atom.
Sites, in units of the cell vectors:
1 Sr 0.1802 0.3198 0.0000  6 Si 3.03-3.25, 1 Sr 3.40
2 Sr 0.3198 0.8198 0.0000  6 Si 3.03-3.25, 1 Sr 3.40
3 Sr 0.6802 0.1802 0.0000  6 Si 3.03-3.25, 1 Sr 3.40
4 Sr 0.8198 0.6802 0.0000  6 Si 3.03-3.25, 1 Sr 3.40
5 Si 0.1326 0.6326 0.5000  1 Si 2.50, 2 Ir 2.60
6 Si 0.3674 0.1326 0.5000  1 Si 2.50, 2 Ir 2.60
7 Si 0.6326 0.8674 0.5000  1 Si 2.50, 2 Ir 2.60
8 Si 0.8674 0.3674 0.5000  1 Si 2.50, 2 Ir 2.60
9 Ir 0.0000 0.0000 0.5000  4 Si 2.60
10 Ir 0.5000 0.5000 0.5000  4 Si 2.60

Calculated values
Symmetry   P4/mbm (127)
V   21.930 Å³ per atom
Formation energy from raw total energies   -0.405 eV/atom

A plane-wave DFT calculation with PBE-GGA was carried out for an optimized crystal structure of SrSiIr2.

Cell: 3.9813 3.9869 5.4083 Å, 90.00 90.10 90.00°
With the nearest neighbours (Å) after each atom.
Sites, in units of the cell vectors:
1 Sr 0.0000 0.0000 0.0000  4 Si 3.23, 8 Ir 3.26-3.45
2 Si 0.4987 0.5000 0.7072  4 Ir 2.34
3 Ir 0.4997 0.0000 0.4791  2 Si 2.34
4 Ir 0.9984 0.5000 0.4785  2 Si 2.34

Calculated values
Symmetry   Pm (6)
V   21.462 Å³ per atom
Formation energy from raw total energies   -0.262 eV/atom

A plane-wave DFT calculation with PBE-GGA was carried out for an optimized crystal structure of SrSiIr.

Cell: 4.0766 4.0766 4.8289 Å, 90.00 90.00 120.00°
With the nearest neighbours (Å) after each atom.
Sites, in units of the cell vectors:
1 Sr 0.0000 0.0000 0.0000  6 Ir 3.37, 6 Si 3.37
2 Si 0.3333 0.6667 0.5000  3 Ir 2.35
3 Ir 0.6667 0.3333 0.5000  3 Si 2.35

Calculated values
Symmetry   P-6m2 (187)
V   23.166 Å³ per atom
Formation energy from raw total energies   -0.656 eV/atom

A plane-wave DFT calculation with PBE-GGA was carried out for an optimized crystal structure of SrSi3Ir.

Cell: 4.7942 4.7942 4.7942 Å, 90.00 90.00 90.00°
With the nearest neighbours (Å) after each atom.
Sites, in units of the cell vectors:
1 Sr 0.0000 0.0000 0.0000  12 Si 3.39
2 Si 0.0000 0.5000 0.5000  2 Ir 2.40
3 Si 0.5000 0.0000 0.5000  2 Ir 2.40
4 Si 0.5000 0.5000 0.0000  2 Ir 2.40
5 Ir 0.5000 0.5000 0.5000  6 Si 2.40

Calculated values
Symmetry   Pm-3m (221)
V   22.038 Å³ per atom
Formation energy from raw total energies   0.145 eV/atom

A plane-wave DFT calculation with PBE-GGA was carried out for an optimized crystal structure of SrSi4Ir6.

Cell: 7.0848 7.0848 3.8609 Å, 90.00 90.00 120.00°
With the nearest neighbours (Å) after each atom.
Sites, in units of the cell vectors:
1 Sr 0.0000 0.0000 0.0000  6 Si 3.11, 6 Ir 3.13
2 Si 0.3333 0.6667 0.0000  9 Ir 2.45-2.53
3 Si 0.3975 0.1987 0.5000  6 Ir 2.45-2.54
4 Si 0.8013 0.1987 0.5000  6 Ir 2.45-2.54
5 Si 0.8013 0.6025 0.5000  6 Ir 2.45-2.54
6 Ir 0.2005 0.4011 0.5000  4 Si 2.45-2.53
7 Ir 0.2005 0.7995 0.5000  4 Si 2.45-2.53
8 Ir 0.5331 0.0662 0.0000  5 Si 2.45-2.54
9 Ir 0.5331 0.4669 0.0000  5 Si 2.45-2.54
10 Ir 0.5989 0.7995 0.5000  4 Si 2.45-2.53
11 Ir 0.9338 0.4669 0.0000  5 Si 2.45-2.54

Calculated values
Symmetry   P-6m2 (187)
V   15.258 Å³ per atom
Formation energy from raw total energies   -0.710 eV/atom